No. 1
Computed, not measured: a geometry-optimized LiNi6Ge4 structure at the GGA-PBE level of DFT.

Properties
Energy above the lowest structure with this stoichiometry ... 0.1985 eV per atom
Calculated formation energy ... -0.133 eV per atom
Fermi-level density of states ... 8.6 states/eV/cell

a = 6.0851 Å, b = 6.0851 Å, c = 6.0851 Å
α = 91.68°, β = 119.04°, γ = 119.04°
Fractional coordinates of all 11 atoms:
Li1 0.0000 0.0000 0.0000
Ni1 0.0000 0.7524 0.4519
Ni2 0.0000 0.4519 0.7524
Ni3 0.6994 0.2476 0.2476
Ni4 0.5000 0.0000 0.5000
Ni5 0.3006 0.5481 0.5481
Ni6 0.5000 0.5000 0.0000
Ge1 0.0000 0.1132 0.5475
Ge2 0.5657 0.4525 0.4525
Ge3 0.0000 0.5475 0.1132
Ge4 0.4343 0.8868 0.8868

=====

No. 2
Computed, not measured: a geometry-optimized LiNi2Ge2 structure at the GGA-PBE level of DFT.

Properties
Energy above the lowest structure with this stoichiometry ... 0.0068 eV per atom
Calculated formation energy ... -0.271 eV per atom
Fermi-level density of states ... 5.2 states/eV/cell

a = 3.9794 Å, b = 5.0715 Å, c = 6.6922 Å
α = 90.00°, β = 90.00°, γ = 90.00°
Fractional coordinates of all 10 atoms:
Li1 0.0000 0.0000 0.0000
Li2 0.0000 0.5000 0.0000
Ni1 0.5000 0.7500 0.8360
Ni2 0.5000 0.2500 0.1640
Ni3 0.5000 0.5000 0.5000
Ni4 0.5000 0.0000 0.5000
Ge1 0.0000 0.7500 0.6247
Ge2 0.0000 0.2500 0.3753
Ge3 0.5000 0.7500 0.1907
Ge4 0.5000 0.2500 0.8093

=====

No. 3
Computed, not measured: a geometry-optimized LiNi3Ge5 structure at the GGA-PBE level of DFT.

Properties
Calculated formation energy ... -0.073 eV per atom
Fermi-level density of states ... 7.7 states/eV/cell

a = 6.5570 Å, b = 6.5570 Å, c = 8.9557 Å
α = 62.89°, β = 62.89°, γ = 77.47°
Fractional coordinates of all 18 atoms:
Li1 0.0890 0.0890 0.6877
Li2 0.9110 0.9110 0.3123
Ni1 0.6844 0.6844 0.8172
Ni2 0.6580 0.6580 0.3258
Ni3 0.0000 0.0000 0.0000
Ni4 0.0000 0.0000 0.5000
Ni5 0.3156 0.3156 0.1828
Ni6 0.3420 0.3420 0.6742
Ge1 0.9466 0.4002 0.3762
Ge2 0.2813 0.7187 0.0000
Ge3 0.7652 0.7652 0.0137
Ge4 0.4179 0.4179 0.3608
Ge5 0.5821 0.5821 0.6392
Ge6 0.2348 0.2348 0.9863
Ge7 0.4002 0.9466 0.3762
Ge8 0.7187 0.2813 0.0000
Ge9 0.0534 0.5998 0.6238
Ge10 0.5998 0.0534 0.6238

=====

No. 4
Computed, not measured: a geometry-optimized Li2Ni5Ge3 structure at the GGA-PBE level of DFT.

Properties
Calculated formation energy ... -0.297 eV per atom
Fermi-level density of states ... 10.4 states/eV/cell

a = 3.9725 Å, b = 5.1449 Å, c = 12.5674 Å
α = 90.00°, β = 99.09°, γ = 90.00°
Fractional coordinates of all 20 atoms:
Li1 0.4975 0.7720 0.9950
Li2 0.1607 0.7294 0.3213
Li3 0.8393 0.2294 0.6787
Li4 0.5025 0.2720 0.0050
Ni1 0.4044 0.4440 0.8087
Ni2 0.3042 0.4799 0.6084
Ni3 0.6958 0.9799 0.3916
Ni4 0.1330 0.2296 0.2660
Ni5 0.3026 0.9497 0.6053
Ni6 0.9473 0.0519 0.8945
Ni7 0.6974 0.4497 0.3947
Ni8 0.8670 0.7296 0.7340
Ni9 0.0527 0.5519 0.1055
Ni10 0.5956 0.9440 0.1913
Ge1 0.7725 0.7168 0.5451
Ge2 0.6037 0.4700 0.2075
Ge3 0.0450 0.0216 0.0901
Ge4 0.2275 0.2168 0.4549
Ge5 0.9550 0.5216 0.9099
Ge6 0.3963 0.9700 0.7925

=====

No. 5
Computed, not measured: a geometry-optimized Li2Ni3Ge2 structure at the GGA-PBE level of DFT.

Properties
Energy above the lowest structure with this stoichiometry ... 0.1190 eV per atom
Calculated formation energy ... -0.249 eV per atom
Fermi-level density of states ... 7.4 states/eV/cell

a = 6.2161 Å, b = 6.2161 Å, c = 6.2161 Å
α = 109.47°, β = 109.47°, γ = 109.47°
Fractional coordinates of all 14 atoms:
Li1 0.0000 0.0000 0.8340
Li2 0.5000 0.8340 0.5000
Li3 0.1660 0.6660 0.6660
Li4 0.3340 0.5000 0.0000
Ni1 0.7162 0.7500 0.9662
Ni2 0.7838 0.2500 0.5338
Ni3 0.0338 0.2838 0.2500
Ni4 0.4662 0.2162 0.7500
Ni5 0.2500 0.9662 0.2162
Ni6 0.7500 0.5338 0.2838
Ge1 0.0000 0.0000 0.4418
Ge2 0.5000 0.4418 0.5000
Ge3 0.5582 0.0582 0.0582
Ge4 0.9418 0.5000 0.0000

=====

No. 6
Computed, not measured: a geometry-optimized LiNi2Ge2 structure at the GGA-PBE level of DFT.

Properties
Energy above the lowest structure with this stoichiometry ... 0.0000 eV per atom
Calculated formation energy ... -0.278 eV per atom
Fermi-level density of states ... 2.4 states/eV/cell

a = 3.7671 Å, b = 3.7671 Å, c = 5.9288 Å
α = 71.48°, β = 71.48°, γ = 90.00°
Fractional coordinates of all 5 atoms:
Ni1 0.7500 0.2500 0.5000
Ni2 0.2500 0.7500 0.5000
Ge1 0.3838 0.3838 0.2325
Ge2 0.6162 0.6162 0.7675
Li1 0.0000 0.0000 0.0000